1.
Below is a crystal of RbNaZn2In relaxed with PBEsol, with properties calculated at the SCAN level.

Unit cell a=5.237 b=5.237 c=5.817 alpha=90.00 beta=90.00 gamma=90.00
Space group P4/mmm (No. 123)
Unique sites:
Rb 0.000 0.000 0.000 x1
Na 0.500 0.500 0.000 x1
Zn 0.000 0.500 0.500 x2
In 0.500 0.500 0.500 x1

Computed properties:
**Calculated density**: 3.68 g/cm³
**Raw total energy**: -16.961 eV/atom

---

2.
Below is a crystal of ZnPOs3 relaxed with PBEsol, with properties calculated at the SCAN level.

Unit cell a=4.425 b=4.425 c=4.425 alpha=90.00 beta=90.00 gamma=90.00
Space group Pm-3m (No. 221)
Unique sites:
Zn 0.000 0.000 0.000 x1
P 0.500 0.500 0.500 x1
Os 0.000 0.000 0.500 x3

Computed properties:
**Calculated density**: 12.79 g/cm³
**Energy relative to the lowest polymorph listed for this composition**: 1565 meV per atom
**Raw total energy**: -45.362 eV/atom

---

3.
Below is a crystal of BaSn2ClO relaxed with PBEsol, with properties calculated at the SCAN level.

Unit cell a=5.217 b=5.217 c=5.288 alpha=90.00 beta=90.00 gamma=90.00
Space group P4/mmm (No. 123)
Unique sites:
Ba 0.000 0.000 0.000 x1
Sn 0.000 0.500 0.500 x2
Cl 0.500 0.500 0.500 x1
O 0.500 0.500 0.000 x1

Computed properties:
**Calculated density**: 4.92 g/cm³
**Formation energy (no corrections)**: -3 kJ/mol of atoms
**Raw total energy**: -25.149 eV/atom

---

4.
Below is a crystal of LaGeSeBr2 relaxed with PBEsol, with properties calculated at the SCAN level.

Unit cell a=5.673 b=5.673 c=5.768 alpha=90.00 beta=90.00 gamma=90.00
Space group P4/mmm (No. 123)
Unique sites:
La 0.000 0.000 0.000 x1
Ge 0.500 0.500 0.500 x1
Se 0.000 0.000 0.500 x1
Br 0.000 0.500 0.000 x2

Computed properties:
**Calculated density**: 4.03 g/cm³
**Formation energy (no corrections)**: -76 kJ/mol of atoms
**Raw total energy**: -25.025 eV/atom

---

5.
Below is a crystal of BaLi2Co relaxed with PBEsol, with properties calculated at the SCAN level.

Unit cell a=4.222 b=4.222 c=20.658 alpha=90.00 beta=90.00 gamma=90.00
Space group I-42d (No. 122)
Unique sites:
Ba 0.000 0.000 0.000 x4
Li 0.168 0.250 0.625 x8
Co 0.000 0.000 0.500 x4

Computed properties:
**Calculated density**: 3.79 g/cm³
**Energy relative to the lowest polymorph listed for this composition**: 127 meV per atom
**Raw total energy**: -14.921 eV/atom

---

6.
Below is a crystal of LiZnCu4 relaxed with PBEsol, with properties calculated at the SCAN level.

Unit cell a=6.748 b=6.748 c=6.748 alpha=90.00 beta=90.00 gamma=90.00
Space group F-43m (No. 216)
Unique sites:
Li 0.000 0.000 0.000 x4
Zn 0.250 0.250 0.250 x4
Cu 0.125 0.125 0.625 x16

Computed properties:
**Calculated density**: 7.06 g/cm³
**Raw total energy**: -12.809 eV/atom

---

- Which of these has the highest calculated density?
  ZnPOs3